Entry 1:
Entry from Alexandria via LeMat-Bulk: a relaxed structure of AsPbBr2 (PBEsol).

ΔE to the lowest computed polymorph = 0.084 eV per atom
Crystal system = orthorhombic
M_tot = 0.00 μB per atom
Energy relative to the elements, uncorrected = -3 kJ/mol of formula units

Cell lengths 3.498, 6.129, 9.490 Å; angles 90.00, 90.00, 90.00 degrees
Atoms (fractional coordinates):
As (0.000, 0.000, 0.000)
As (0.500, 0.500, 0.000)
Pb (0.000, 0.000, 0.500)
Pb (0.500, 0.500, 0.500)
Br (0.000, 0.500, 0.221)
Br (0.000, 0.500, 0.779)
Br (0.500, 0.000, 0.221)
Br (0.500, 0.000, 0.779)

***

Entry 2:
Entry from Alexandria via LeMat-Bulk: a relaxed structure of As2PbBr (PBEsol).

ΔE to the lowest computed polymorph = 0.000 eV per atom
Crystal system = cubic
M_tot = 0.00 μB per atom
Energy relative to the elements, uncorrected = 72 kJ/mol of formula units

Cell lengths 7.134, 7.134, 7.134 Å; angles 90.00, 90.00, 90.00 degrees
Atoms (fractional coordinates):
As (0.000, 0.000, 0.000)
As (0.000, 0.500, 0.500)
As (0.250, 0.250, 0.250)
As (0.250, 0.750, 0.750)
As (0.500, 0.000, 0.500)
As (0.500, 0.500, 0.000)
As (0.750, 0.250, 0.750)
As (0.750, 0.750, 0.250)
Pb (0.000, 0.000, 0.500)
Pb (0.000, 0.500, 0.000)
Pb (0.500, 0.000, 0.000)
Pb (0.500, 0.500, 0.500)
Br (0.250, 0.250, 0.750)
Br (0.250, 0.750, 0.250)
Br (0.750, 0.250, 0.250)
Br (0.750, 0.750, 0.750)

***

Entry 3:
Entry from Alexandria via LeMat-Bulk: a relaxed structure of ReAs2PbBr (PBEsol).

Crystal system = tetragonal
M_tot = 0.74 μB per atom
Energy relative to the elements, uncorrected = 929 kJ/mol of formula units

Cell lengths 5.320, 5.320, 5.386 Å; angles 90.00, 90.00, 90.00 degrees
Atoms (fractional coordinates):
Re (0.000, 0.000, 0.000)
As (0.000, 0.500, 0.500)
As (0.500, 0.000, 0.500)
Pb (0.500, 0.500, 0.500)
Br (0.500, 0.500, 0.000)